# 1
Ac2Nd2Pt3 | GGA-PBE | optimized geometry

Geometry as CIF:
```
data_Ac2Nd2Pt3
_space_group_name_H-M_alt 'C 1 2/m 1'
_space_group_IT_number 12
_cell_length_a 15.305
_cell_length_b 4.747
_cell_length_c 5.832
_cell_angle_alpha 90.00
_cell_angle_beta 105.46
_cell_angle_gamma 90.00
loop_
_space_group_symop_operation_xyz
'x,y,z'
'-x,-y,-z'
'-x,y,-z'
'x,-y,z'
'x+1/2,y+1/2,z'
'-x+1/2,-y+1/2,-z'
'-x+1/2,y+1/2,-z'
'x+1/2,-y+1/2,z'
loop_
_atom_site_label
_atom_site_type_symbol
_atom_site_fract_x
_atom_site_fract_y
_atom_site_fract_z
Ac1 Ac 0.139 0.000 0.076
Nd1 Nd 0.109 0.500 0.551
Pt1 Pt 0.000 0.500 0.000
Pt2 Pt 0.224 0.000 0.642
```

Uncorrected energy = -6.07 eV per atom
Density = 10.80 Mg/m³
Formation energy from the elements = -0.940 eV per atom

=====

# 2
AlCuGe | GGA-PBE | optimized geometry

Geometry as CIF:
```
data_AlCuGe
_space_group_name_H-M_alt 'P n m a'
_space_group_IT_number 62
_cell_length_a 5.935
_cell_length_b 3.871
_cell_length_c 9.106
_cell_angle_alpha 90.00
_cell_angle_beta 90.00
_cell_angle_gamma 90.00
loop_
_space_group_symop_operation_xyz
'x,y,z'
'-x,-y,-z'
'-x+1/2,-y,z+1/2'
'x+1/2,y,-z+1/2'
'x+1/2,-y+1/2,-z+1/2'
'-x+1/2,y+1/2,z+1/2'
'-x,y+1/2,-z'
'x,-y+1/2,z'
loop_
_atom_site_label
_atom_site_type_symbol
_atom_site_fract_x
_atom_site_fract_y
_atom_site_fract_z
Al1 Al 0.196 0.250 0.098
Cu1 Cu 0.004 0.250 0.596
Ge1 Ge 0.228 0.750 0.879
```

Uncorrected energy = -3.99 eV per atom
Density = 5.18 Mg/m³
Formation energy from the elements = 0.158 eV per atom

=====

# 3
RePd | GGA-PBE | optimized geometry

Geometry as CIF:
```
data_RePd
_space_group_name_H-M_alt 'F m -3 m'
_space_group_IT_number 225
_space_group_name_Hall '-F 4 2 3'
_cell_length_a 5.180
_cell_length_b 5.180
_cell_length_c 5.180
_cell_angle_alpha 90.00
_cell_angle_beta 90.00
_cell_angle_gamma 90.00
loop_
_atom_site_label
_atom_site_type_symbol
_atom_site_fract_x
_atom_site_fract_y
_atom_site_fract_z
Re1 Re 0.000 0.000 0.000
Pd1 Pd 0.000 0.000 0.500
```

Uncorrected energy = -7.24 eV per atom
Density = 13.99 Mg/m³
Formation energy from the elements = 1.578 eV per atom

=====

# 4
Pm3GeP | GGA-PBE | optimized geometry

Geometry as CIF:
```
data_Pm3GeP
_space_group_name_H-M_alt 'P n m a'
_space_group_IT_number 62
_cell_length_a 8.001
_cell_length_b 4.204
_cell_length_c 15.940
_cell_angle_alpha 90.00
_cell_angle_beta 90.00
_cell_angle_gamma 90.00
loop_
_space_group_symop_operation_xyz
'x,y,z'
'-x,-y,-z'
'-x+1/2,-y,z+1/2'
'x+1/2,y,-z+1/2'
'x+1/2,-y+1/2,-z+1/2'
'-x+1/2,y+1/2,z+1/2'
'-x,y+1/2,-z'
'x,-y+1/2,z'
loop_
_atom_site_label
_atom_site_type_symbol
_atom_site_fract_x
_atom_site_fract_y
_atom_site_fract_z
Pm1 Pm 0.007 0.250 0.104
Pm2 Pm 0.136 0.750 0.441
Pm3 Pm 0.152 0.250 0.714
Ge1 Ge 0.140 0.250 0.296
P1 P 0.225 0.750 0.041
```

Uncorrected energy = -5.84 eV per atom
Density = 6.67 Mg/m³
Formation energy from the elements = -0.986 eV per atom

=====

# 5
Ca2Pr8Y | GGA-PBE | optimized geometry

Geometry as CIF:
```
data_Ca2Pr8Y
_space_group_name_H-M_alt 'C 1 2/m 1'
_space_group_IT_number 12
_cell_length_a 18.966
_cell_length_b 5.289
_cell_length_c 8.276
_cell_angle_alpha 90.00
_cell_angle_beta 104.53
_cell_angle_gamma 90.00
loop_
_space_group_symop_operation_xyz
'x,y,z'
'-x,-y,-z'
'-x,y,-z'
'x,-y,z'
'x+1/2,y+1/2,z'
'-x+1/2,-y+1/2,-z'
'-x+1/2,y+1/2,-z'
'x+1/2,-y+1/2,z'
loop_
_atom_site_label
_atom_site_type_symbol
_atom_site_fract_x
_atom_site_fract_y
_atom_site_fract_z
Ca1 Ca 0.136 0.000 0.179
Pr1 Pr 0.046 0.000 0.723
Pr2 Pr 0.089 0.500 0.461
Pr3 Pr 0.180 0.500 0.903
Pr4 Pr 0.225 0.000 0.636
Y1 Y 0.000 0.500 0.000
```

Uncorrected energy = -4.38 eV per atom
Density = 5.36 Mg/m³
Formation energy from the elements = 0.045 eV per atom

=====

# 6
LiNd4Ga2 | GGA-PBE | optimized geometry

Geometry as CIF:
```
data_LiNd4Ga2
_space_group_name_H-M_alt 'R -3 m'
_space_group_IT_number 166
_space_group_name_Hall '-R 3 2"'
_cell_length_a 5.2102
_cell_length_b 5.2102
_cell_length_c 24.8050
_cell_angle_alpha 90.00
_cell_angle_beta 90.00
_cell_angle_gamma 120.00
loop_
_atom_site_label
_atom_site_type_symbol
_atom_site_fract_x
_atom_site_fract_y
_atom_site_fract_z
Li1 Li 0.0000 0.0000 0.0000
Nd1 Nd 0.0000 0.0000 0.1325
Nd2 Nd 0.0000 0.0000 0.3859
Ga1 Ga 0.0000 0.0000 0.2588
```

Uncorrected energy = -4.15 eV per atom
Density = 6.18 Mg/m³
Formation energy from the elements = -0.289 eV per atom

=====

# 7
PmUNi17 | GGA-PBE | optimized geometry

Geometry as CIF:
```
data_PmUNi17
_space_group_name_H-M_alt 'R 3 m'
_space_group_IT_number 160
_space_group_name_Hall 'R 3 -2"'
_cell_length_a 8.2754
_cell_length_b 8.2754
_cell_length_c 12.0759
_cell_angle_alpha 90.00
_cell_angle_beta 90.00
_cell_angle_gamma 120.00
loop_
_atom_site_label
_atom_site_type_symbol
_atom_site_fract_x
_atom_site_fract_y
_atom_site_fract_z
Pm1 Pm 0.0000 0.0000 0.0000
U1 U 0.0000 0.0000 0.3271
Ni1 Ni 0.0000 0.0000 0.5577
Ni2 Ni 0.0000 0.0000 0.7572
Ni3 Ni 0.0382 0.3680 0.3277
Ni4 Ni 0.1675 0.3350 0.4951
Ni5 Ni 0.1685 0.3369 0.1481
Ni6 Ni 0.1700 0.3399 0.8416
```

Uncorrected energy = -6.17 eV per atom
Density = 9.60 Mg/m³
Formation energy from the elements = -0.150 eV per atom

=====

# 8
LiGaSeBr2 | GGA-PBE | optimized geometry

Geometry as CIF:
```
data_LiGaSeBr2
_space_group_name_H-M_alt 'P 4/m m m'
_space_group_IT_number 123
_space_group_name_Hall '-P 4 2'
_cell_length_a 5.281
_cell_length_b 5.281
_cell_length_c 4.878
_cell_angle_alpha 90.00
_cell_angle_beta 90.00
_cell_angle_gamma 90.00
loop_
_atom_site_label
_atom_site_type_symbol
_atom_site_fract_x
_atom_site_fract_y
_atom_site_fract_z
Li1 Li 0.000 0.000 0.000
Ga1 Ga 0.500 0.500 0.500
Se1 Se 0.000 0.000 0.500
Br1 Br 0.000 0.500 0.000
```

Uncorrected energy = -2.64 eV per atom
Energy relative to the elements, uncorrected = -0.29 eV per atom
Density = 3.85 Mg/m³

=====

Question: What is the uncorrected energy in the first record?
Answer: -6.07 eV per atom

=====

Question: Which value of density does entry 2 give?
Answer: 5.18 Mg/m³